Below is a relaxed structure of Zn2SbAu, with properties calculated at the PBE level.

Summary:
Uncorrected formation energy, eV/atom: 0.0759
E_tot, eV per atom: -2.41

Lattice parameters (Å, degrees): 5.750 8.278 3.216 90.00 90.00 90.00
Space group Cmmm (No. 65)
Asymmetric unit:
Zn  0.250  0.250  0.000 x4
Sb  0.000  0.000  0.500 x2
Au  0.000  0.500  0.500 x2